[1]
DFT (PBE) results for a geometry-optimized NdSm2FeN4 structure.

Magnetic moment: 0.000 μB per atom
E_form (uncorrected): -22.62 kcal/mol of atoms

Cell lengths 3.464, 6.106, 11.873 Å; angles 90.00, 90.00, 106.48 degrees
Element x y z (fractional)
Fe 0.157 0.315 0.250
N 0.269 0.538 0.134
Sm 0.368 0.735 0.956
Nd 0.121 0.243 0.750
Sm 0.368 0.735 0.544
Sm 0.632 0.265 0.456
Nd 0.879 0.757 0.250
Fe 0.843 0.685 0.750
N 0.596 0.192 0.250
Sm 0.632 0.265 0.044
N 0.000 0.000 0.000
N 0.731 0.462 0.866
N 0.731 0.462 0.634
N 0.269 0.538 0.366
N 0.404 0.808 0.750
N 0.000 0.000 0.500

---

[2]
DFT (PBE) results for a geometry-optimized SrNd2FeN4 structure.

Magnetic moment: 0.213 μB per atom
E_form (uncorrected): -18.67 kcal/mol of atoms

Cell lengths 3.539, 6.354, 12.064 Å; angles 90.00, 90.00, 106.17 degrees
Each line ends with the local moment (μB).
Element x y z (fractional)
N 0.000 0.000 0.000  0.04
Nd 0.369 0.738 0.956  0.01
Nd 0.631 0.262 0.456  0.01
N 0.000 0.000 0.500  0.04
N 0.737 0.473 0.628  0.07
N 0.613 0.226 0.250  0.01
Nd 0.631 0.262 0.044  0.01
N 0.737 0.473 0.872  0.07
Sr 0.898 0.796 0.250  0.01
N 0.263 0.527 0.128  0.07
Fe 0.180 0.360 0.250  1.29
N 0.263 0.527 0.372  0.07
Nd 0.369 0.738 0.544  0.01
Fe 0.820 0.640 0.750  1.29
N 0.387 0.774 0.750  0.01
Sr 0.102 0.204 0.750  0.01

---

[3]
DFT (PBE) results for a geometry-optimized Tb2NdFeN4 structure.

Magnetic moment: 0.000 μB per atom
E_form (uncorrected): -25.17 kcal/mol of atoms

Cell lengths 3.423, 5.996, 11.623 Å; angles 90.00, 90.00, 106.58 degrees
Element x y z (fractional)
N 0.267 0.535 0.369
Nd 0.883 0.767 0.250
Fe 0.844 0.688 0.750
Tb 0.368 0.736 0.545
Fe 0.156 0.312 0.250
N 0.000 0.000 0.500
Tb 0.632 0.264 0.455
N 0.589 0.178 0.250
Tb 0.632 0.264 0.045
Nd 0.117 0.233 0.750
N 0.733 0.465 0.869
N 0.267 0.535 0.131
N 0.000 0.000 0.000
N 0.733 0.465 0.631
Tb 0.368 0.736 0.955
N 0.411 0.822 0.750

---

[4]
DFT (PBE) results for a geometry-optimized NdTh2FeN4 structure.

Magnetic moment: 0.375 μB per atom
E_form (uncorrected): -26.44 kcal/mol of atoms

Cell lengths 3.615, 6.181, 11.903 Å; angles 90.00, 90.00, 107.00 degrees
Each line ends with the local moment (μB).
Element x y z (fractional)
N 0.267 0.534 0.121  0.07
Th 0.632 0.264 0.058  0.03
N 0.552 0.104 0.250  0.05
Nd 0.901 0.802 0.250  -0.02
Th 0.368 0.736 0.558  0.03
N 0.267 0.534 0.379  0.07
N 0.448 0.896 0.750  0.05
Fe 0.836 0.672 0.750  2.51
N 0.733 0.466 0.621  0.07
N 0.733 0.466 0.879  0.07
Th 0.368 0.736 0.942  0.03
Fe 0.164 0.328 0.250  2.51
Th 0.632 0.264 0.442  0.03
Nd 0.099 0.198 0.750  -0.02
N 0.000 0.000 0.000  0.03
N 0.000 0.000 0.500  0.03

---

[5]
DFT (PBE) results for a geometry-optimized NdTi2FeN4 structure.

Magnetic moment: 0.134 μB per atom
E_form (uncorrected): -26.62 kcal/mol of atoms

Cell lengths 3.155, 5.595, 10.553 Å; angles 90.00, 90.00, 106.38 degrees
Each line ends with the local moment (μB).
Element x y z (fractional)
N 0.266 0.533 0.390  0.04
N 0.428 0.856 0.750  0.03
Fe 0.161 0.322 0.250  0.92
Ti 0.632 0.264 0.045  -0.04
N 0.572 0.144 0.250  0.03
N 0.734 0.467 0.890  0.04
Nd 0.898 0.795 0.250  0.01
Ti 0.632 0.264 0.455  -0.04
Ti 0.368 0.736 0.545  -0.04
N 0.000 0.000 0.000  0.02
Nd 0.102 0.205 0.750  0.01
N 0.000 0.000 0.500  0.02
N 0.734 0.467 0.610  0.04
Fe 0.839 0.678 0.750  0.92
N 0.266 0.533 0.110  0.04
Ti 0.368 0.736 0.955  -0.04

---

[6]
DFT (PBE) results for a geometry-optimized NdU2FeN4 structure.

Magnetic moment: 0.126 μB per atom
E_form (uncorrected): -27.17 kcal/mol of atoms

Cell lengths 3.438, 5.986, 11.257 Å; angles 90.00, 90.00, 106.69 degrees
Each line ends with the local moment (μB).
Element x y z (fractional)
N 0.268 0.536 0.112  -0.07
N 0.000 0.000 0.500  -0.09
N 0.558 0.117 0.250  -0.05
N 0.000 0.000 0.000  -0.09
N 0.442 0.883 0.750  -0.05
N 0.268 0.536 0.388  -0.07
N 0.732 0.464 0.612  -0.07
U 0.631 0.262 0.442  1.30
N 0.732 0.464 0.888  -0.07
U 0.369 0.738 0.558  1.30
Nd 0.102 0.204 0.750  0.06
U 0.631 0.262 0.058  1.30
Nd 0.898 0.796 0.250  0.06
Fe 0.838 0.677 0.750  -1.65
Fe 0.162 0.323 0.250  -1.65
U 0.369 0.738 0.942  1.30

---

[7]
DFT (PBE) results for a geometry-optimized NdV2Fe10N structure.

Magnetic moment: 1.348 μB per atom
E_form (uncorrected): -2.54 kcal/mol of atoms

Cell lengths 6.526, 6.526, 6.526 Å; angles 136.49, 97.99, 97.80 degrees
Each line ends with the local moment (μB).
Element x y z (fractional)
Fe 0.775 0.500 0.275  2.08
Fe 0.000 0.000 0.500  2.18
Fe 0.776 0.276 0.500  1.95
N 0.000 0.500 0.500  0.08
Fe 0.500 0.500 0.500  2.18
V 0.639 0.639 0.000  -1.09
Fe 0.225 0.500 0.725  2.08
Fe 0.638 0.000 0.638  2.53
Fe 0.362 0.000 0.362  2.53
Fe 0.000 0.500 0.000  2.18
V 0.361 0.361 0.000  -1.09
Nd 0.000 0.000 0.000  -0.16
Fe 0.224 0.724 0.500  1.95
Fe 0.500 0.000 0.000  2.18

---

[8]
DFT (PBE) results for a geometry-optimized Nd2FeWN5 structure.

Magnetic moment: 0.064 μB per atom
E_form (uncorrected): -16.69 kcal/mol of atoms

Cell lengths 3.250, 7.233, 10.098 Å; angles 90.00, 90.00, 102.98 degrees
Each line ends with the local moment (μB).
Element x y z (fractional)
Nd 0.881 0.763 0.195  0.01
N 0.503 0.007 0.785  0.03
W 0.796 0.593 0.520  0.03
N 0.032 0.064 0.018  0.02
Fe 0.553 0.107 0.949  0.43
W 0.204 0.407 0.020  0.03
N 0.697 0.394 0.153  0.01
Nd 0.125 0.251 0.320  0.01
Fe 0.447 0.893 0.449  0.43
Nd 0.119 0.237 0.695  0.01
N 0.680 0.361 0.879  -0.01
N 0.968 0.936 0.518  0.02
N 0.303 0.606 0.653  0.01
N 0.665 0.331 0.505  0.00
N 0.320 0.639 0.379  -0.01
N 0.497 0.993 0.285  0.03
Nd 0.875 0.749 0.820  0.01
N 0.335 0.669 0.005  0.00

---

[9]
DFT (PBE) results for a geometry-optimized NdY2FeN4 structure.

Magnetic moment: 0.000 μB per atom
E_form (uncorrected): -25.40 kcal/mol of atoms

Cell lengths 3.416, 5.974, 11.599 Å; angles 90.00, 90.00, 106.61 degrees
Element x y z (fractional)
Y 0.368 0.736 0.545
N 0.000 0.000 0.500
N 0.733 0.466 0.630
Y 0.368 0.736 0.955
N 0.588 0.177 0.250
Y 0.632 0.264 0.455
N 0.733 0.466 0.870
Nd 0.118 0.235 0.750
Fe 0.845 0.690 0.750
N 0.412 0.823 0.750
Y 0.632 0.264 0.045
N 0.267 0.534 0.130
N 0.000 0.000 0.000
Fe 0.155 0.310 0.250
Nd 0.882 0.765 0.250
N 0.267 0.534 0.370

---

[10]
DFT (PBE) results for a geometry-optimized FeNiN3 structure.

Magnetic moment: 0.079 μB per atom
E_form (uncorrected): 33.56 kcal/mol of atoms

Cell lengths 3.613, 3.613, 3.613 Å; angles 90.00, 90.00, 90.00 degrees
Each line ends with the local moment (μB).
Element x y z (fractional)
Fe 0.000 0.000 0.000  0.98
N 0.000 0.000 0.500  -0.08
N 0.500 0.000 0.000  -0.04
N 0.000 0.500 0.000  -0.04
Ni 0.500 0.500 0.500  -0.47

---

[11]
DFT (PBE) results for a geometry-optimized FeNiN3 structure.

Magnetic moment: 0.000 μB per atom
E_form (uncorrected): 43.55 kcal/mol of atoms

Cell lengths 3.588, 3.588, 3.588 Å; angles 90.00, 90.00, 90.00 degrees
Element x y z (fractional)
N 0.000 0.500 0.000
N 0.500 0.000 0.000
Ni 0.000 0.000 0.000
Fe 0.500 0.500 0.500
N 0.000 0.000 0.500

---

[12]
DFT (PBE) results for a geometry-optimized FeNi5N4 structure.

Magnetic moment: 0.000 μB per atom
E_form (uncorrected): 4.56 kcal/mol of atoms

Cell lengths 4.067, 5.805, 8.656 Å; angles 90.00, 90.00, 90.00 degrees
Element x y z (fractional)
N 0.478 0.000 0.307
N 0.010 0.726 0.000
N 0.522 0.500 0.807
N 0.478 0.000 0.693
N 0.010 0.274 0.000
Ni 0.201 0.500 0.500
Ni 0.709 0.286 0.658
Ni 0.291 0.214 0.842
Ni 0.799 0.000 0.000
N 0.522 0.500 0.193
Ni 0.709 0.286 0.342
Ni 0.709 0.714 0.658
N 0.990 0.226 0.500
Ni 0.709 0.714 0.342
Fe 0.722 0.500 0.000
Ni 0.291 0.786 0.842
N 0.990 0.774 0.500
Ni 0.291 0.214 0.158
Fe 0.278 0.000 0.500
Ni 0.291 0.786 0.158

---

Q: Number 11 is which compound?
A: FeNiN3